# LaCrO3 PBE+U relaxed
# - Energy: -7.73 eV/atom
data_LaCrO3
_chemical_formula_sum 'La4 Cr4 O12'
_symmetry_space_group_name_H-M 'C 1 m 1'
_symmetry_Int_Tables_number 8
_cell_length_a 7.311
_cell_length_b 11.797
_cell_length_c 3.877
_cell_angle_alpha 90.00
_cell_angle_beta 122.01
_cell_angle_gamma 90.00
loop_
_symmetry_equiv_pos_as_xyz
'x,y,z'
'x,-y,z'
'x+1/2,y+1/2,z'
'x+1/2,-y+1/2,z'
loop_
_atom_site_label
_atom_site_fract_x
_atom_site_fract_y
_atom_site_fract_z
La1 0.000 0.182 0.000
Cr1 0.201 0.500 0.228
Cr2 0.298 0.000 0.823
O1 0.239 0.000 0.239
O2 0.246 0.156 0.741
O3 0.254 0.344 0.250
O4 0.260 0.500 0.760